Entry 1:
VASP calculation (PBE-GGA) on a relaxed structure of Hf2MoHIr.

- Fermi-level density of states (states/eV/cell) = 2.3
- M_tot (μB/atom) = 0.0000
- space group = No. 123

Unit cell a=4.611 b=4.611 c=3.473 alpha=90.00 beta=90.00 gamma=90.00
Positions (direct):
H 0.000 0.000 0.000
Mo 0.000 0.000 0.500
Hf 0.000 0.500 0.000
Hf 0.500 0.000 0.000
Ir 0.500 0.500 0.500



Entry 2:
VASP calculation (PBE-GGA) on a relaxed structure of La5Te5C.

- Fermi-level density of states (states/eV/cell) = 4.0
- ΔE_f (raw) (eV per atom) = -1.235
- M_tot (μB/atom) = 0.0000
- space group = No. 12

Unit cell a=6.367 b=7.783 c=8.847 alpha=107.65 beta=90.00 gamma=114.15
Positions (direct):
La 0.500 0.000 0.000
La 0.856 0.713 0.144
La 0.854 0.709 0.705
La 0.144 0.287 0.856
La 0.146 0.291 0.295
Te 0.340 0.680 0.182
Te 0.660 0.320 0.818
Te 0.000 0.000 0.500
Te 0.682 0.363 0.332
Te 0.318 0.637 0.668
C 0.000 0.000 0.000



Number 1: energy -45.5 eV for the cell shown. Number 2: energy -63.2 eV for the cell shown.